# Be2CdRh | Alexandria via LeMat-Bulk | PBE | optimized geometry
# Energy of formation: 91 meV/atom
data_Be2CdRh
_chemical_formula_sum 'Be6 Cd3 Rh3'
_space_group_name_H-M_alt 'R -3 m'
_space_group_IT_number 166
_space_group_name_Hall '-R 3 2"'
_cell_length_a 2.8169
_cell_length_b 2.8169
_cell_length_c 24.1362
_cell_angle_alpha 90.00
_cell_angle_beta 90.00
_cell_angle_gamma 120.00
loop_
_atom_site_label
_atom_site_fract_x
_atom_site_fract_y
_atom_site_fract_z
Be1 0.0000 0.0000 0.2348
Cd1 0.0000 0.0000 0.0000
Rh1 0.0000 0.0000 0.5000